## NaUCr2O8 (GGA+U)

Data for crystalline NaUCr2O8 at its relaxed geometry.

Computed properties:
**Total energy**: -90.46 eV per cell
**Calculated volume**: 160.2 Å³ per cell
**Symmetry**: I-4m2, No. 119
**Crystal system**: tetragonal

Cell: 5.9314 5.9314 5.9314 Å, 107.83 107.83 112.81°
Element x y z (fractional)
Na 0.0000 0.0000 0.0000
U 0.2500 0.7500 0.5000
Cr 0.5000 0.5000 0.0000
Cr 0.7500 0.2500 0.5000
O 0.3221 0.1077 0.7856
O 0.3221 0.5365 0.2144
O 0.4058 0.0892 0.3166
O 0.4635 0.6779 0.7856
O 0.7725 0.0892 0.6834
O 0.8923 0.6779 0.2144
O 0.9108 0.2275 0.3166
O 0.9108 0.5942 0.6834